A PBEsol-optimized structure of ZnCdPt. Source: Alexandria, functional meta-GGA SCAN.

Lattice parameters (Å, degrees): 4.3924 4.3924 2.8763 90.00 90.00 120.00
With the nearest neighbours (Å) after each atom.
Space group P-6m2 (No. 187)
One atom of each set of equivalent atoms:
1 Zn 0.0000 0.0000 0.0000 x1  3 Pt 2.54
2 Cd 0.6667 0.3333 0.5000 x1  2 Cd 2.88, 6 Zn 2.92, 6 Pt 2.92
3 Pt 0.3333 0.6667 0.0000 x1  3 Zn 2.54

## Properties
The calculation puts the volume at 48 Å³ per cell. The value obtained for the formation energy is -0.37 eV per atom.